First-principles (PBE) data for crystalline TbPr2Cu3 at its relaxed geometry, as listed in Alexandria.

- DFT total energy: -54.83 eV/cell
- Magnetic moment: 0.0 μB/cell
- Distance to the lowest polymorph of the same formula: 0.03 eV per formula unit
- N(E_F): 0.70 states/eV/atom
- Space-group type: No. 65

Geometry as extended XYZ:
```
12
Lattice="2.5116 -7.5693 0.0000 2.5116 7.5693 0.0000 0.0000 0.0000 7.2318" Properties=species:S:1:pos:R:3 pbc="T T T"
Pr 0.0000 0.0000 3.6159
Cu 2.5116 -4.9687 1.6825
Pr 0.0000 0.0000 0.0000
Cu 2.5116 4.9687 1.6825
Tb 2.5116 2.5395 0.0000
Cu 2.5116 0.0000 1.7209
Cu 2.5116 0.0000 5.5109
Pr 2.5116 2.5087 3.6159
Cu 2.5116 4.9687 5.5492
Pr 2.5116 -2.5087 3.6159
Cu 2.5116 -4.9687 5.5492
Tb 2.5116 -2.5395 0.0000
```

First-principles (PBE) data for crystalline TbPrCu at its relaxed geometry, as listed in Alexandria.

- DFT total energy: -27.67 eV/cell
- Magnetic moment: 0.0 μB/cell
- Distance to the lowest polymorph of the same formula: 0.00 eV per formula unit
- N(E_F): 1.07 states/eV/atom
- Space-group type: No. 11

Geometry as extended XYZ:
```
6
Lattice="3.9241 0.0000 0.0000 0.0000 3.7547 -0.3076 0.0000 -0.9898 11.1411" Properties=species:S:1:pos:R:3 pbc="T T T"
Tb 0.9810 2.6308 9.1188
Cu 0.9810 1.9334 0.6199
Cu 2.9430 0.8314 10.2136
Tb 2.9430 0.1341 1.7147
Pr 2.9430 0.5439 6.7451
Pr 0.9810 2.2210 4.0884
```

First-principles (PBE) data for crystalline TbPrCu at its relaxed geometry, as listed in Alexandria.

- DFT total energy: -13.79 eV/cell
- Magnetic moment: 0.0 μB/cell
- Distance to the lowest polymorph of the same formula: 0.05 eV per formula unit
- N(E_F): 1.23 states/eV/atom
- Space-group type: No. 107

Geometry as extended XYZ:
```
3
Lattice="-1.6466 -0.7584 3.0684 3.0568 -1.2624 1.3283 0.7131 6.7335 -0.0228" Properties=species:S:1:pos:R:3 pbc="T T T"
Tb 0.8518 3.4375 1.3067
Cu 1.2087 1.0220 2.9710
Pr 0.0627 0.2532 0.0962
```

First-principles (PBE) data for crystalline TbPr3Cu4 at its relaxed geometry, as listed in Alexandria.

- DFT total energy: -36.55 eV/cell
- Magnetic moment: 0.0 μB/cell
- N(E_F): 0.85 states/eV/atom
- Space-group type: No. 123

Geometry as extended XYZ:
```
8
Lattice="3.5773 0.0000 0.0000 0.0000 3.5773 0.0000 0.0000 0.0000 14.3949" Properties=species:S:1:pos:R:3 pbc="T T T"
Cu 0.0000 0.0000 1.6073
Pr 1.7887 1.7887 10.8614
Cu 0.0000 0.0000 12.7876
Cu 0.0000 0.0000 9.0237
Pr 1.7887 1.7887 3.5336
Cu 0.0000 0.0000 5.3713
Pr 1.7887 1.7887 7.1975
Tb 1.7887 1.7887 0.0000
```

no.,energy of formation from the pure elements (meV/atom)
1,-156.0
2,-109.5
3,-93.3
4,-149.4